Entry 1:
Computed, not measured: a geometry-optimized KBeF2 structure at the GGA-PBEsol level of DFT.

abc: 4.022 4.022 16.822
angles: 90.00 90.00 120.00
Atoms (fractional coordinates):
K1 0.000 0.000 0.000
K2 0.333 0.667 0.667
K3 0.667 0.333 0.333
Be1 0.000 0.000 0.500
Be2 0.333 0.667 0.167
Be3 0.667 0.333 0.833
F1 0.000 0.000 0.413
F2 0.000 0.000 0.587
F3 0.333 0.667 0.079
F4 0.333 0.667 0.254
F5 0.667 0.333 0.746
F6 0.667 0.333 0.921

theoretical density	1.82	g cm⁻³
formation energy without anion corrections	-2143	meV/atom
distance to the lowest polymorph of the same formula	0	kJ/mol of formula units
energy	-52.68	eV per cell
DOS(E_F)	0.8	states/eV/f.u.

Entry 2:
Computed, not measured: a geometry-optimized K2BeF structure at the GGA-PBEsol level of DFT.

abc: 7.499 7.499 7.499
angles: 90.00 90.00 90.00
Atoms (fractional coordinates):
K1 0.250 0.250 0.250
K2 0.250 0.250 0.750
K3 0.250 0.750 0.250
K4 0.250 0.750 0.750
K5 0.750 0.250 0.250
K6 0.750 0.250 0.750
K7 0.750 0.750 0.250
K8 0.750 0.750 0.750
Be1 0.000 0.000 0.000
Be2 0.000 0.500 0.500
Be3 0.500 0.000 0.500
Be4 0.500 0.500 0.000
F1 0.000 0.000 0.500
F2 0.000 0.500 0.000
F3 0.500 0.000 0.000
F4 0.500 0.500 0.500

theoretical density	1.67	g cm⁻³
formation energy without anion corrections	-283	meV/atom
energy	-37.31	eV per cell
DOS(E_F)	1.3	states/eV/f.u.

Entry 3:
Computed, not measured: a geometry-optimized KLiBeF4 structure at the GGA-PBEsol level of DFT.

abc: 5.040 5.040 8.566
angles: 90.00 90.00 120.00
Atoms (fractional coordinates):
K1 0.000 0.000 0.000
K2 0.000 0.000 0.500
Li1 0.333 0.667 0.197
Li2 0.667 0.333 0.697
Be1 0.333 0.667 0.802
Be2 0.667 0.333 0.302
F1 0.040 0.667 0.746
F2 0.333 0.373 0.746
F3 0.333 0.667 0.984
F4 0.373 0.040 0.246
F5 0.627 0.960 0.746
F6 0.667 0.333 0.484
F7 0.667 0.627 0.246
F8 0.960 0.333 0.246

theoretical density	2.31	g cm⁻³
formation energy without anion corrections	-3113	meV/atom
energy	-73.20	eV per cell
DOS(E_F)	0.0	states/eV/f.u.

Entry 4:
Computed, not measured: a geometry-optimized KBeN2F structure at the GGA-PBEsol level of DFT.

abc: 5.355 5.355 4.681
angles: 90.00 90.00 90.00
Atoms (fractional coordinates):
K1 0.000 0.000 0.000
Be1 0.500 0.500 0.500
N1 0.000 0.500 0.000
N2 0.500 0.000 0.000
F1 0.000 0.000 0.500

theoretical density	1.18	g cm⁻³
formation energy without anion corrections	1940	meV/atom
energy	-14.41	eV per cell
DOS(E_F)	1.6	states/eV/f.u.

Entry 5:
Computed, not measured: a geometry-optimized K3NaBe2F8 structure at the GGA-PBEsol level of DFT.

abc: 5.585 5.585 7.149
angles: 90.00 90.00 120.00
Atoms (fractional coordinates):
K1 0.000 0.000 0.000
K2 0.333 0.667 0.664
K3 0.667 0.333 0.336
Na1 0.000 0.000 0.500
Be1 0.333 0.667 0.225
Be2 0.667 0.333 0.775
F1 0.183 0.366 0.309
F2 0.183 0.817 0.309
F3 0.333 0.667 0.013
F4 0.366 0.183 0.691
F5 0.634 0.817 0.309
F6 0.667 0.333 0.987
F7 0.817 0.183 0.691
F8 0.817 0.634 0.691

theoretical density	2.67	g cm⁻³
formation energy without anion corrections	-3070	meV/atom
energy	-71.20	eV per cell
DOS(E_F)	0.0	states/eV/f.u.

Entry 6:
Computed, not measured: a geometry-optimized KBeOF2 structure at the GGA-PBEsol level of DFT.

abc: 4.472 4.472 4.188
angles: 90.00 90.00 90.00
Atoms (fractional coordinates):
K1 0.000 0.000 0.000
Be1 0.500 0.500 0.500
O1 0.000 0.000 0.500
F1 0.000 0.500 0.000
F2 0.500 0.000 0.000

theoretical density	2.02	g cm⁻³
formation energy without anion corrections	38	meV/atom
energy	-14.05	eV per cell
DOS(E_F)	3.0	states/eV/f.u.

Entry 7:
Computed, not measured: a geometry-optimized KYBeF6 structure at the GGA-PBEsol level of DFT.

abc: 6.303 5.802 6.975
angles: 90.00 112.87 90.00
Atoms (fractional coordinates):
K1 0.069 0.250 0.203
K2 0.931 0.750 0.797
Y1 0.388 0.250 0.823
Y2 0.612 0.750 0.177
Be1 0.233 0.750 0.463
Be2 0.767 0.250 0.537
F1 0.012 0.750 0.258
F2 0.230 0.534 0.596
F3 0.230 0.966 0.596
F4 0.319 0.502 0.037
F5 0.319 0.998 0.037
F6 0.450 0.750 0.414
F7 0.550 0.250 0.586
F8 0.681 0.002 0.963
F9 0.681 0.498 0.963
F10 0.770 0.034 0.404
F11 0.770 0.466 0.404
F12 0.988 0.250 0.742

theoretical density	3.55	g cm⁻³
formation energy without anion corrections	-3627	meV/atom
energy	-112.33	eV per cell
DOS(E_F)	0.0	states/eV/f.u.

Entry 8:
Computed, not measured: a geometry-optimized LaBeF2 structure at the GGA-PBEsol level of DFT.

abc: 6.177 6.177 6.177
angles: 90.00 90.00 90.00
Atoms (fractional coordinates):
La1 0.000 0.000 0.000
La2 0.000 0.500 0.500
La3 0.500 0.000 0.500
La4 0.500 0.500 0.000
Be1 0.000 0.000 0.500
Be2 0.000 0.500 0.000
Be3 0.500 0.000 0.000
Be4 0.500 0.500 0.500
F1 0.250 0.250 0.250
F2 0.250 0.250 0.750
F3 0.250 0.750 0.250
F4 0.250 0.750 0.750
F5 0.750 0.250 0.250
F6 0.750 0.250 0.750
F7 0.750 0.750 0.250
F8 0.750 0.750 0.750

theoretical density	5.24	g cm⁻³
formation energy without anion corrections	-1682	meV/atom
energy	-79.72	eV per cell
DOS(E_F)	3.4	states/eV/f.u.

- Which of these has the lowest theoretical density?
  KBeN2F

- What is the formula in the second record?
  K2BeF

- Which of these has the lowest theoretical density?
  KBeN2F

- Which formula does entry 5 have?
  K3NaBe2F8